# 1
An optimized crystal structure of Tc2TeCl. Source: the Alexandria database, functional PBE-GGA.

CIF file:
```
data_Tc2TeCl
_chemical_formula_sum 'Tc2 Te1 Cl1'
_cell_length_a 3.2293
_cell_length_b 3.2293
_cell_length_c 6.4965
_cell_angle_alpha 90.00
_cell_angle_beta 90.00
_cell_angle_gamma 90.00
_symmetry_space_group_name_H-M 'P 4/m m m'
_symmetry_Int_Tables_number 123
_symmetry_space_group_name_Hall '-P 4 2'
loop_
_atom_site_label
_atom_site_type_symbol
_atom_site_fract_x
_atom_site_fract_y
_atom_site_fract_z
Tc1 Tc 0.0000 0.0000 0.2326
Te1 Te 0.5000 0.5000 0.0000
Cl1 Cl 0.5000 0.5000 0.5000
```

total magnetization	0.0	Bohr magnetons per cell
energy above the lowest structure with this stoichiometry	673	meV/atom
energy relative to the elements, uncorrected	0.641	eV/atom
E_tot	-0.4255	Ry/atom
density of states at the Fermi level	1.198	states/eV per atom

=====

# 2
An optimized crystal structure of PrAgGe2. Source: the Alexandria database, functional PBE-GGA.

CIF file:
```
data_PrAgGe2
_chemical_formula_sum 'Pr8 Ag8 Ge16'
_cell_length_a 14.1756
_cell_length_b 4.3912
_cell_length_c 11.2882
_cell_angle_alpha 90.00
_cell_angle_beta 90.00
_cell_angle_gamma 90.00
_symmetry_space_group_name_H-M 'P n m a'
_symmetry_Int_Tables_number 62
loop_
_symmetry_equiv_pos_as_xyz
'x,y,z'
'-x,-y,-z'
'-x+1/2,-y,z+1/2'
'x+1/2,y,-z+1/2'
'x+1/2,-y+1/2,-z+1/2'
'-x+1/2,y+1/2,z+1/2'
'-x,y+1/2,-z'
'x,-y+1/2,z'
loop_
_atom_site_label
_atom_site_type_symbol
_atom_site_fract_x
_atom_site_fract_y
_atom_site_fract_z
Pr1 Pr 0.0478 0.2500 0.2475
Pr2 Pr 0.2017 0.7500 0.9630
Ag1 Ag 0.0584 0.2500 0.5454
Ag2 Ag 0.2068 0.7500 0.6685
Ge1 Ge 0.0408 0.2500 0.9738
Ge2 Ge 0.1110 0.2500 0.7702
Ge3 Ge 0.1331 0.7500 0.4517
Ge4 Ge 0.2046 0.7500 0.2496
```

total magnetization	0.0	Bohr magnetons per cell
calculated formation energy	-0.489	eV/atom
E_tot	-0.3459	Ry/atom
density of states at the Fermi level	0.299	states/eV per atom

=====

# 3
An optimized crystal structure of TmAlV. Source: the Alexandria database, functional PBE-GGA.

CIF file:
```
data_TmAlV
_chemical_formula_sum 'Tm3 Al3 V3'
_cell_length_a 6.7708
_cell_length_b 6.7708
_cell_length_c 4.5545
_cell_angle_alpha 90.00
_cell_angle_beta 90.00
_cell_angle_gamma 120.00
_symmetry_space_group_name_H-M 'P -6 2 m'
_symmetry_Int_Tables_number 189
_symmetry_space_group_name_Hall 'P -6 -2'
loop_
_atom_site_label
_atom_site_type_symbol
_atom_site_fract_x
_atom_site_fract_y
_atom_site_fract_z
Tm1 Tm 0.0000 0.5661 0.0000
Al1 Al 0.0000 0.0000 0.0000
Al2 Al 0.3333 0.6667 0.5000
V1 V 0.0000 0.2033 0.5000
```

total magnetization	0.0	Bohr magnetons per cell
energy above the lowest structure with this stoichiometry	0	meV/atom
calculated formation energy	-0.080	eV/atom
E_tot	-0.4306	Ry/atom
density of states at the Fermi level	0.910	states/eV per atom

=====

# 4
An optimized crystal structure of K2TaAs. Source: the Alexandria database, functional PBE-GGA.

CIF file:
```
data_K2TaAs
_chemical_formula_sum 'K4 Ta2 As2'
_cell_length_a 5.5628
_cell_length_b 11.7363
_cell_length_c 3.1158
_cell_angle_alpha 90.00
_cell_angle_beta 90.00
_cell_angle_gamma 90.00
_symmetry_space_group_name_H-M 'C m m m'
_symmetry_Int_Tables_number 65
_symmetry_space_group_name_Hall '-C 2 2'
loop_
_atom_site_label
_atom_site_type_symbol
_atom_site_fract_x
_atom_site_fract_y
_atom_site_fract_z
K1 K 0.2500 0.2500 0.0000
Ta1 Ta 0.0000 0.0000 0.5000
As1 As 0.0000 0.5000 0.5000
```

total magnetization	1.8	Bohr magnetons per cell
calculated formation energy	0.781	eV/atom
E_tot	-0.2862	Ry/atom
density of states at the Fermi level	0.757	states/eV per atom

=====

# 5
An optimized crystal structure of SnHgPt2. Source: the Alexandria database, functional PBE-GGA.

CIF file:
```
data_SnHgPt2
_chemical_formula_sum 'Sn4 Hg4 Pt8'
_cell_length_a 7.4714
_cell_length_b 7.4714
_cell_length_c 5.7655
_cell_angle_alpha 90.00
_cell_angle_beta 90.00
_cell_angle_gamma 90.00
_symmetry_space_group_name_H-M 'I -4 2 d'
_symmetry_Int_Tables_number 122
_symmetry_space_group_name_Hall 'I -4 2bw'
loop_
_atom_site_label
_atom_site_type_symbol
_atom_site_fract_x
_atom_site_fract_y
_atom_site_fract_z
Sn1 Sn 0.0000 0.0000 0.0000
Hg1 Hg 0.0000 0.0000 0.5000
Pt1 Pt 0.2343 0.2500 0.1250
```

total magnetization	0.0	Bohr magnetons per cell
calculated formation energy	-0.033	eV/atom
E_tot	-0.3035	Ry/atom
density of states at the Fermi level	0.417	states/eV per atom

=====

# 6
An optimized crystal structure of CsAl2AuBr8. Source: the Alexandria database, functional PBE-GGA.

CIF file:
```
data_CsAl2AuBr8
_chemical_formula_sum 'Cs3 Al6 Au3 Br24'
_cell_length_a 6.9096
_cell_length_b 6.9096
_cell_length_c 30.7972
_cell_angle_alpha 90.00
_cell_angle_beta 90.00
_cell_angle_gamma 120.00
_symmetry_space_group_name_H-M 'R -3'
_symmetry_Int_Tables_number 148
_symmetry_space_group_name_Hall '-R 3'
loop_
_atom_site_label
_atom_site_type_symbol
_atom_site_fract_x
_atom_site_fract_y
_atom_site_fract_z
Cs1 Cs 0.0000 0.0000 0.0000
Al1 Al 0.0000 0.0000 0.2459
Au1 Au 0.0000 0.0000 0.5000
Br1 Br 0.0000 0.0000 0.3216
Br2 Br 0.0024 0.3238 0.7770
```

total magnetization	0.0	Bohr magnetons per cell
energy relative to the elements, uncorrected	-1.045	eV/atom
E_tot	-0.2300	Ry/atom
density of states at the Fermi level	0.000	states/eV per atom

=====

# 7
An optimized crystal structure of MgGaCoAg. Source: the Alexandria database, functional PBE-GGA.

CIF file:
```
data_MgGaCoAg
_chemical_formula_sum 'Mg4 Ga4 Co4 Ag4'
_cell_length_a 6.2031
_cell_length_b 6.2031
_cell_length_c 6.2031
_cell_angle_alpha 90.00
_cell_angle_beta 90.00
_cell_angle_gamma 90.00
_symmetry_space_group_name_H-M 'F -4 3 m'
_symmetry_Int_Tables_number 216
_symmetry_space_group_name_Hall 'F -4 2 3'
loop_
_atom_site_label
_atom_site_type_symbol
_atom_site_fract_x
_atom_site_fract_y
_atom_site_fract_z
Mg1 Mg 0.0000 0.0000 0.0000
Ga1 Ga 0.0000 0.0000 0.5000
Co1 Co 0.2500 0.2500 0.7500
Ag1 Ag 0.2500 0.2500 0.2500
```

total magnetization	0.5	Bohr magnetons per cell
calculated formation energy	-0.024	eV/atom
E_tot	-0.2697	Ry/atom
density of states at the Fermi level	0.678	states/eV per atom

=====

# 8
An optimized crystal structure of CaMnCr2Mo. Source: the Alexandria database, functional PBE-GGA.

CIF file:
```
data_CaMnCr2Mo
_chemical_formula_sum 'Ca1 Mn1 Cr2 Mo1'
_cell_length_a 4.5336
_cell_length_b 4.5336
_cell_length_c 4.5575
_cell_angle_alpha 90.00
_cell_angle_beta 90.00
_cell_angle_gamma 90.00
_symmetry_space_group_name_H-M 'P 4/m m m'
_symmetry_Int_Tables_number 123
_symmetry_space_group_name_Hall '-P 4 2'
loop_
_atom_site_label
_atom_site_type_symbol
_atom_site_fract_x
_atom_site_fract_y
_atom_site_fract_z
Ca1 Ca 0.0000 0.0000 0.0000
Mn1 Mn 0.5000 0.5000 0.5000
Cr1 Cr 0.0000 0.5000 0.5000
Mo1 Mo 0.5000 0.5000 0.0000
```

total magnetization	3.3	Bohr magnetons per cell
calculated formation energy	0.831	eV/atom
E_tot	-0.5453	Ry/atom
density of states at the Fermi level	1.064	states/eV per atom

=====

# 9
An optimized crystal structure of MnCr2Ir. Source: the Alexandria database, functional PBE-GGA.

CIF file:
```
data_MnCr2Ir
_chemical_formula_sum 'Mn2 Cr4 Ir2'
_cell_length_a 3.6775
_cell_length_b 3.6775
_cell_length_c 7.4169
_cell_angle_alpha 90.00
_cell_angle_beta 90.00
_cell_angle_gamma 90.00
_symmetry_space_group_name_H-M 'I 4/m m m'
_symmetry_Int_Tables_number 139
_symmetry_space_group_name_Hall '-I 4 2'
loop_
_atom_site_label
_atom_site_type_symbol
_atom_site_fract_x
_atom_site_fract_y
_atom_site_fract_z
Mn1 Mn 0.0000 0.0000 0.0000
Cr1 Cr 0.0000 0.5000 0.2500
Ir1 Ir 0.0000 0.0000 0.5000
```

total magnetization	1.9	Bohr magnetons per cell
calculated formation energy	-0.038	eV/atom
E_tot	-0.6878	Ry/atom
density of states at the Fermi level	1.382	states/eV per atom

=====

# 10
An optimized crystal structure of MgAs3Se. Source: the Alexandria database, functional PBE-GGA.

CIF file:
```
data_MgAs3Se
_chemical_formula_sum 'Mg1 As3 Se1'
_cell_length_a 4.9579
_cell_length_b 4.9579
_cell_length_c 4.9579
_cell_angle_alpha 90.00
_cell_angle_beta 90.00
_cell_angle_gamma 90.00
_symmetry_space_group_name_H-M 'P m -3 m'
_symmetry_Int_Tables_number 221
_symmetry_space_group_name_Hall '-P 4 2 3'
loop_
_atom_site_label
_atom_site_type_symbol
_atom_site_fract_x
_atom_site_fract_y
_atom_site_fract_z
Mg1 Mg 0.0000 0.0000 0.0000
As1 As 0.0000 0.0000 0.5000
Se1 Se 0.5000 0.5000 0.5000
```

total magnetization	0.0	Bohr magnetons per cell
energy above the lowest structure with this stoichiometry	164	meV/atom
energy relative to the elements, uncorrected	0.806	eV/atom
E_tot	-0.2205	Ry/atom
density of states at the Fermi level	0.971	states/eV per atom

=====

Question: density of states at the Fermi level of number 1 (Tc2TeCl)?
Answer: 1.198 states/eV per atom